# 1
Here is a relaxed LaAl2GaCu crystal from the Alexandria database. Energies are from PBE.

Results
Excess energy over the best structure of this formula in the dataset ... 0 meV per atom
Total energy ... -4.401 eV per atom
Formation energy ... -493.7 meV per atom
Total moment ... 0.00 Bohr magnetons per cell

Cell and atoms, written as POSCAR:
```
LaAl2GaCu
1.0
4.319 0.000 0.000
0.000 4.286 0.000
-2.159 -2.143 5.308
Al Cu Ga La
2 1 1 1
direct
0.046 0.046 0.092
0.701 0.201 0.401
0.818 0.818 0.635
0.199 0.699 0.399
0.449 0.449 0.897
```

=====

# 2
Here is a relaxed Pb2BrCl3 crystal from the Alexandria database. Energies are from PBE.

Results
Total energy ... -3.524 eV per atom
Formation energy (no corrections) ... -104.8 kJ per mole of atoms
Total moment ... 0.00 Bohr magnetons per cell

Cell and atoms, written as POSCAR:
```
Pb2BrCl3
1.0
4.469 0.000 0.000
2.234 9.040 -0.028
2.234 2.096 10.738
Cl Br Pb
6 2 4
direct
0.235 0.132 0.398
0.674 0.681 0.970
0.326 0.319 0.030
0.765 0.868 0.602
0.943 0.856 0.258
0.057 0.144 0.742
0.409 0.513 0.670
0.591 0.487 0.330
0.626 0.185 0.562
0.374 0.815 0.438
0.867 0.407 0.859
0.133 0.593 0.141
```

=====

# 3
Here is a relaxed Rb3Pu2O5F2 crystal from the Alexandria database. Energies are from PBE.

Results
Total energy ... -7.714 eV per atom
Formation energy (no corrections) ... -261.1 kJ per mole of atoms
Total moment ... 7.00 Bohr magnetons per cell

Cell and atoms, written as POSCAR:
```
Rb3Pu2O5F2
1.0
-1.988 -3.748 -0.757
3.801 -2.030 0.071
-2.056 1.144 12.004
Rb O Pu F
3 5 2 2
direct
0.188 0.188 0.375
0.000 0.000 0.000
0.812 0.812 0.625
0.904 0.404 0.808
0.404 0.904 0.808
0.596 0.096 0.192
0.096 0.596 0.192
0.500 0.500 0.000
0.591 0.591 0.182
0.409 0.409 0.818
0.309 0.309 0.617
0.691 0.691 0.383
```

=====

# 4
Here is a relaxed KCa2AsOs crystal from the Alexandria database. Energies are from PBE.

Results
Total energy ... -3.518 eV per atom
Formation energy ... 678.0 meV per atom
Total moment ... 2.00 Bohr magnetons per cell

Cell and atoms, written as POSCAR:
```
KCa2AsOs
1.0
-1.083 0.428 -5.293
-5.609 0.147 1.159
0.222 5.400 0.391
As Os K Ca
1 1 1 2
direct
0.500 0.500 0.500
0.000 0.000 0.000
0.000 0.500 0.000
0.500 0.000 0.000
0.000 0.000 0.500
```

=====

# 5
Here is a relaxed Ni4Pd7Pt crystal from the Alexandria database. Energies are from PBE.

Results
Total energy ... -5.156 eV per atom
Formation energy ... 304.1 meV per atom
Total moment ... 4.96 Bohr magnetons per cell

Cell and atoms, written as POSCAR:
```
Ni4Pd7Pt
1.0
-4.429 0.908 -1.583
-4.663 -4.373 3.291
-3.556 2.913 4.371
Pd Ni Pt
7 4 1
direct
0.741 0.287 0.231
0.500 0.000 0.000
0.802 0.875 0.520
0.259 0.713 0.769
0.073 0.591 0.263
0.198 0.125 0.480
0.927 0.409 0.737
0.689 0.652 0.971
0.475 0.680 0.369
0.311 0.348 0.029
0.525 0.320 0.631
0.000 0.000 0.000
```

=====

# 6
Here is a relaxed Li2MoAsPd crystal from the Alexandria database. Energies are from PBE.

Results
Total energy ... -4.382 eV per atom
Formation energy ... 518.6 meV per atom
Total moment ... 1.51 Bohr magnetons per cell

Cell and atoms, written as POSCAR:
```
Li2MoAsPd
1.0
4.297 0.000 0.000
0.000 4.971 0.000
0.000 0.000 4.297
Li As Pd Mo
2 1 1 1
direct
0.500 0.000 0.000
0.000 0.000 0.500
0.500 0.500 0.500
0.000 0.000 0.000
0.000 0.500 0.000
```

=====

# 7
Here is a relaxed Y2ReNi crystal from the Alexandria database. Energies are from PBE.

Results
Total energy ... -7.761 eV per atom
Formation energy ... 28.7 meV per atom
Total moment ... 0.00 Bohr magnetons per cell

Cell and atoms, written as POSCAR:
```
Y2ReNi
1.0
3.456 0.000 0.000
0.000 3.413 -0.022
0.000 3.461 6.791
Y Ni Re
2 1 1
direct
0.000 0.500 0.499
0.000 0.000 0.001
0.500 0.250 0.250
0.500 0.750 0.750
```

=====

# 8
Here is a relaxed UPaWC3 crystal from the Alexandria database. Energies are from PBE.

Results
Total energy ... -10.181 eV per atom
Formation energy ... 54.3 meV per atom
Total moment ... 0.33 Bohr magnetons per cell

Cell and atoms, written as POSCAR:
```
UPaWC3
1.0
-2.125 -2.236 1.139
5.498 -3.563 3.266
-1.485 4.582 6.220
U Pa W C
2 2 2 6
direct
0.750 0.372 0.828
0.250 0.628 0.172
0.250 0.147 0.172
0.750 0.853 0.828
0.750 0.878 0.419
0.250 0.122 0.581
0.750 0.873 0.143
0.250 0.820 0.573
0.250 0.601 0.890
0.250 0.127 0.857
0.750 0.180 0.427
0.750 0.399 0.110
```

=====

# 9
Here is a relaxed AcDyIn2 crystal from the Alexandria database. Energies are from PBE.

Results
Total energy ... -3.988 eV per atom
Formation energy ... -441.0 meV per atom
Total moment ... 0.00 Bohr magnetons per cell

Cell and atoms, written as POSCAR:
```
AcDyIn2
1.0
-3.478 -1.246 -1.289
-0.841 -1.351 3.574
-3.208 6.999 1.890
Ac In Dy
1 2 1
direct
0.500 0.500 0.500
0.000 0.000 0.219
0.000 0.000 0.781
0.500 0.500 0.000
```

=====

# 10
Here is a relaxed CoSi2Sb crystal from the Alexandria database. Energies are from PBE.

Results
Total energy ... -5.358 eV per atom
Formation energy (no corrections) ... 15.5 kJ per mole of atoms
Total moment ... 0.00 Bohr magnetons per cell

Cell and atoms, written as POSCAR:
```
CoSi2Sb
1.0
3.874 0.000 0.000
0.000 4.361 0.106
0.000 1.566 4.074
Si Co Sb
2 1 1
direct
0.000 0.427 0.427
0.000 0.073 0.073
0.500 0.250 0.250
0.500 0.750 0.750
```

=====

# 11
Here is a relaxed K3ZrPt crystal from the Alexandria database. Energies are from PBE.

Results
Total energy ... -2.623 eV per atom
Formation energy ... 953.6 meV per atom
Total moment ... 3.00 Bohr magnetons per cell

Cell and atoms, written as POSCAR:
```
K3ZrPt
1.0
6.154 0.000 0.000
0.000 6.154 0.000
0.000 0.000 6.154
K Pt Zr
3 1 1
direct
0.000 0.000 0.500
0.000 0.500 0.000
0.500 0.000 0.000
0.000 0.000 0.000
0.500 0.500 0.500
```

=====

# 12
Here is a relaxed WBr2 crystal from the Alexandria database. Energies are from PBE.

Results
Excess energy over the best structure of this formula in the dataset ... 0 meV per atom
Total energy ... -5.900 eV per atom
Formation energy (no corrections) ... -45.0 kJ per mole of atoms
Total moment ... 0.00 Bohr magnetons per cell

Cell and atoms, written as POSCAR:
```
WBr2
1.0
-8.172 1.885 -5.487
-2.977 -6.125 7.352
-2.469 9.555 6.961
Br W
24 12
direct
0.826 0.593 0.569
0.222 0.778 0.500
0.453 0.685 0.291
0.547 0.315 0.709
0.685 0.453 0.291
0.655 0.655 0.845
0.722 0.278 0.000
0.845 0.845 0.345
0.278 0.722 0.000
0.155 0.155 0.655
0.953 0.185 0.209
0.778 0.222 0.500
0.047 0.815 0.791
0.815 0.047 0.791
0.326 0.093 0.931
0.593 0.826 0.569
0.315 0.547 0.709
0.907 0.674 0.069
0.345 0.345 0.155
0.185 0.953 0.209
0.174 0.407 0.431
0.674 0.907 0.069
0.407 0.174 0.431
0.093 0.326 0.931
0.570 0.570 0.638
0.617 0.383 0.500
0.117 0.883 0.000
0.430 0.430 0.362
0.883 0.117 0.000
0.862 0.862 0.930
0.383 0.617 0.500
0.362 0.362 0.570
0.638 0.638 0.430
0.070 0.070 0.862
0.930 0.930 0.138
0.138 0.138 0.070
```

=====

# 13
Here is a relaxed TcHOsAuN crystal from the Alexandria database. Energies are from PBE.

Results
Excess energy over the best structure of this formula in the dataset ... 23 meV per atom
Total energy ... -6.957 eV per atom
Total moment ... 0.00 Bohr magnetons per cell

Cell and atoms, written as POSCAR:
```
TcHOsAuN
1.0
4.021 0.000 0.000
0.000 2.866 0.000
0.000 0.000 10.628
Tc Au N H Os
2 2 2 2 2
direct
0.000 0.000 0.928
0.000 0.500 0.428
0.500 0.000 0.587
0.500 0.500 0.087
0.000 0.000 0.288
0.000 0.500 0.788
0.000 0.000 0.190
0.000 0.500 0.690
0.500 0.000 0.326
0.500 0.500 0.826
```

=====

# 14
Here is a relaxed SrYBe2Cl crystal from the Alexandria database. Energies are from PBE.

Results
Total energy ... -2.952 eV per atom
Formation energy (no corrections) ... 51.8 kJ per mole of atoms
Total moment ... 0.00 Bohr magnetons per cell

Cell and atoms, written as POSCAR:
```
SrYBe2Cl
1.0
-2.695 -0.168 -4.259
-3.750 -2.329 2.465
-2.044 4.473 1.117
Be Cl Y Sr
2 1 1 1
direct
0.000 0.000 0.500
0.500 0.000 0.000
0.000 0.000 0.000
0.000 0.500 0.000
0.500 0.500 0.500
```

=====

# 15
Here is a relaxed HWSeBr2 crystal from the Alexandria database. Energies are from PBE.

Results
Excess energy over the best structure of this formula in the dataset ... 665 meV per atom
Total energy ... -3.430 eV per atom
Total moment ... 2.26 Bohr magnetons per cell

Cell and atoms, written as POSCAR:
```
HWSeBr2
1.0
5.153 0.000 0.000
0.000 5.153 0.000
0.000 0.000 3.432
W H Se Br
1 1 1 2
direct
0.500 0.500 0.500
0.000 0.000 0.000
0.000 0.000 0.500
0.500 0.000 0.000
0.000 0.500 0.000
```

=====

# 16
Here is a relaxed ScTlS2 crystal from the Alexandria database. Energies are from PBE.

Results
Total energy ... -4.970 eV per atom
Formation energy (no corrections) ... -70.6 kJ per mole of atoms
Total moment ... 0.00 Bohr magnetons per cell

Cell and atoms, written as POSCAR:
```
ScTlS2
1.0
0.000 3.443 3.443
3.443 0.000 3.443
3.443 3.443 0.000
Sc S Tl
1 2 1
direct
0.000 0.000 0.000
0.250 0.250 0.250
0.750 0.750 0.750
0.500 0.500 0.500
```

=====

# 17
Here is a relaxed InBi2Sb crystal from the Alexandria database. Energies are from PBE.

Results
Excess energy over the best structure of this formula in the dataset ... 53 meV per atom
Total energy ... -3.523 eV per atom
Formation energy (no corrections) ... 12.8 kJ per mole of atoms
Total moment ... 0.00 Bohr magnetons per cell

Cell and atoms, written as POSCAR:
```
InBi2Sb
1.0
-1.662 -3.564 -0.038
2.363 -1.134 2.932
-5.204 2.372 5.112
Bi In Sb
2 1 1
direct
0.000 0.000 0.760
0.000 0.000 0.240
0.500 0.500 0.500
0.500 0.500 0.000
```

=====

# 18
Here is a relaxed Gd2SiHg crystal from the Alexandria database. Energies are from PBE.

Results
Total energy ... -8.992 eV per atom
Formation energy (no corrections) ... -50.2 kJ per mole of atoms
Total moment ... 14.35 Bohr magnetons per cell

Cell and atoms, written as POSCAR:
```
Gd2SiHg
1.0
3.707 0.000 0.000
0.000 3.707 0.000
0.000 0.000 7.112
Hg Si Gd
1 1 2
direct
0.500 0.500 0.500
0.500 0.500 0.000
0.000 0.000 0.226
0.000 0.000 0.774
```

=====

# 19
Here is a relaxed NdZn2GaCu crystal from the Alexandria database. Energies are from PBE.

Results
Total energy ... -3.248 eV per atom
Formation energy ... -360.7 meV per atom
Total moment ... 0.00 Bohr magnetons per cell

Cell and atoms, written as POSCAR:
```
NdZn2GaCu
1.0
-0.059 -2.686 3.352
2.066 -2.950 -2.327
3.437 4.685 1.062
Cu Zn Ga Nd
1 2 1 1
direct
0.195 0.695 0.389
0.691 0.191 0.383
0.065 0.065 0.129
0.822 0.822 0.643
0.440 0.440 0.880
```

=====

# 20
Here is a relaxed VSIN2 crystal from the Alexandria database. Energies are from PBE.

Results
Excess energy over the best structure of this formula in the dataset ... 1163 meV per atom
Total energy ... -4.522 eV per atom
Formation energy (no corrections) ... 170.5 kJ per mole of atoms
Total moment ... 2.90 Bohr magnetons per cell

Cell and atoms, written as POSCAR:
```
VSIN2
1.0
-2.396 1.899 2.459
-2.180 -3.240 0.379
3.135 -1.606 4.295
S I N V
1 1 2 1
direct
0.000 0.000 0.500
0.000 0.000 0.000
0.500 0.000 0.000
0.000 0.500 0.000
0.500 0.500 0.500
```